# 1
Compound: DyZn12Au6
Source: the Alexandria database
Functional: PBE
Structure: optimized geometry

CIF file:
```
data_DyZn12Au6
_symmetry_space_group_name_H-M 'P 1'
_symmetry_Int_Tables_number 1
_symmetry_space_group_name_Hall 'P 1'
_cell_length_a 7.302
_cell_length_b 7.302
_cell_length_c 7.302
_cell_angle_alpha 105.07
_cell_angle_beta 105.07
_cell_angle_gamma 105.07
loop_
_atom_site_label
_atom_site_type_symbol
_atom_site_fract_x
_atom_site_fract_y
_atom_site_fract_z
Zn1 Zn 0.500 0.892 0.108
Zn2 Zn 0.379 0.379 0.136
Zn3 Zn 0.108 0.500 0.892
Zn4 Zn 0.892 0.500 0.108
Zn5 Zn 0.864 0.621 0.621
Zn6 Zn 0.621 0.621 0.864
Zn7 Zn 0.500 0.108 0.892
Zn8 Zn 0.892 0.108 0.500
Zn9 Zn 0.136 0.379 0.379
Zn10 Zn 0.108 0.892 0.500
Zn11 Zn 0.621 0.864 0.621
Zn12 Zn 0.379 0.136 0.379
Au1 Au 0.712 0.712 0.286
Au2 Au 0.286 0.712 0.712
Au3 Au 0.288 0.714 0.288
Au4 Au 0.712 0.286 0.712
Au5 Au 0.288 0.288 0.714
Au6 Au 0.714 0.288 0.288
Dy1 Dy 0.000 0.000 0.000
```

## Properties
- energy of formation (meV/atom) = -195.3

=====

# 2
Compound: BaBeN3
Source: the Alexandria database
Functional: PBE
Structure: optimized geometry

CIF file:
```
data_BaBeN3
_symmetry_space_group_name_H-M 'P 1'
_symmetry_Int_Tables_number 1
_symmetry_space_group_name_Hall 'P 1'
_cell_length_a 3.882
_cell_length_b 3.882
_cell_length_c 3.882
_cell_angle_alpha 90.00
_cell_angle_beta 90.00
_cell_angle_gamma 90.00
loop_
_atom_site_label
_atom_site_type_symbol
_atom_site_fract_x
_atom_site_fract_y
_atom_site_fract_z
N1 N 0.000 0.500 0.000
N2 N 0.500 0.000 0.000
N3 N 0.000 0.000 0.500
Ba1 Ba 0.500 0.500 0.500
Be1 Be 0.000 0.000 0.000
```

## Properties
- E_form (uncorrected) (kJ/mol of formula units) = 437

=====

# 3
Compound: Ac5CeRu4
Source: the Alexandria database
Functional: PBE
Structure: optimized geometry

CIF file:
```
data_Ac5CeRu4
_symmetry_space_group_name_H-M 'P 1'
_symmetry_Int_Tables_number 1
_symmetry_space_group_name_Hall 'P 1'
_cell_length_a 4.388
_cell_length_b 7.802
_cell_length_c 9.720
_cell_angle_alpha 110.42
_cell_angle_beta 103.05
_cell_angle_gamma 90.00
loop_
_atom_site_label
_atom_site_type_symbol
_atom_site_fract_x
_atom_site_fract_y
_atom_site_fract_z
Ru1 Ru 0.023 0.825 0.045
Ru2 Ru 0.359 0.999 0.718
Ru3 Ru 0.641 0.001 0.282
Ru4 Ru 0.977 0.175 0.955
Ce1 Ce 0.500 0.000 0.000
Ac1 Ac 0.500 0.500 0.000
Ac2 Ac 0.847 0.724 0.694
Ac3 Ac 0.180 0.803 0.360
Ac4 Ac 0.153 0.276 0.306
Ac5 Ac 0.820 0.197 0.640
```

## Properties
- energy of formation (meV/atom) = -175.8

=====

# 4
Compound: NdGa4PdAu2
Source: the Alexandria database
Functional: PBE
Structure: optimized geometry

CIF file:
```
data_NdGa4PdAu2
_symmetry_space_group_name_H-M 'P 1'
_symmetry_Int_Tables_number 1
_symmetry_space_group_name_Hall 'P 1'
_cell_length_a 4.407
_cell_length_b 4.407
_cell_length_c 9.353
_cell_angle_alpha 76.37
_cell_angle_beta 76.37
_cell_angle_gamma 60.00
loop_
_atom_site_label
_atom_site_type_symbol
_atom_site_fract_x
_atom_site_fract_y
_atom_site_fract_z
Nd1 Nd 0.000 0.000 0.000
Ga1 Ga 0.133 0.133 0.602
Ga2 Ga 0.601 0.601 0.196
Ga3 Ga 0.399 0.399 0.804
Ga4 Ga 0.867 0.867 0.398
Pd1 Pd 0.500 0.500 0.500
Au1 Au 0.755 0.755 0.736
Au2 Au 0.245 0.245 0.264
```

## Properties
- energy of formation (meV/atom) = -485.4

=====

# 5
Compound: Be2RuRh
Source: the Alexandria database
Functional: PBE
Structure: optimized geometry

CIF file:
```
data_Be2RuRh
_symmetry_space_group_name_H-M 'P 1'
_symmetry_Int_Tables_number 1
_symmetry_space_group_name_Hall 'P 1'
_cell_length_a 8.033
_cell_length_b 8.033
_cell_length_c 8.033
_cell_angle_alpha 19.06
_cell_angle_beta 19.06
_cell_angle_gamma 19.06
loop_
_atom_site_label
_atom_site_type_symbol
_atom_site_fract_x
_atom_site_fract_y
_atom_site_fract_z
Be1 Be 0.000 0.000 0.000
Be2 Be 0.249 0.249 0.249
Ru1 Ru 0.745 0.745 0.745
Rh1 Rh 0.507 0.507 0.507
```

## Properties
- energy of formation (meV/atom) = 94.8

=====

# 6
Compound: YIrRu2
Source: the Alexandria database
Functional: PBE
Structure: optimized geometry

CIF file:
```
data_YIrRu2
_symmetry_space_group_name_H-M 'P 1'
_symmetry_Int_Tables_number 1
_symmetry_space_group_name_Hall 'P 1'
_cell_length_a 4.607
_cell_length_b 4.607
_cell_length_c 4.607
_cell_angle_alpha 60.00
_cell_angle_beta 60.00
_cell_angle_gamma 60.00
loop_
_atom_site_label
_atom_site_type_symbol
_atom_site_fract_x
_atom_site_fract_y
_atom_site_fract_z
Y1 Y 0.750 0.750 0.750
Ir1 Ir 0.500 0.500 0.500
Ru1 Ru 0.250 0.250 0.250
Ru2 Ru 0.000 0.000 0.000
```

## Properties
- energy relative to the lowest polymorph listed for this composition (meV per atom) = 171
- energy of formation (meV/atom) = 159.1

=====

# 7
Compound: La2YOs
Source: the Alexandria database
Functional: PBE
Structure: optimized geometry

CIF file:
```
data_La2YOs
_symmetry_space_group_name_H-M 'P 1'
_symmetry_Int_Tables_number 1
_symmetry_space_group_name_Hall 'P 1'
_cell_length_a 3.634
_cell_length_b 4.660
_cell_length_c 7.781
_cell_angle_alpha 72.58
_cell_angle_beta 90.00
_cell_angle_gamma 90.00
loop_
_atom_site_label
_atom_site_type_symbol
_atom_site_fract_x
_atom_site_fract_y
_atom_site_fract_z
La1 La 0.500 0.417 0.291
La2 La 0.000 0.084 0.957
Os1 Os 0.000 0.261 0.603
Y1 Y 0.500 0.738 0.648
```

## Properties
- energy relative to the lowest polymorph listed for this composition (meV per atom) = 163
- energy of formation (meV/atom) = 2.0

=====

# 8
Compound: Re2AgIr
Source: the Alexandria database
Functional: PBE
Structure: optimized geometry

CIF file:
```
data_Re2AgIr
_symmetry_space_group_name_H-M 'P 1'
_symmetry_Int_Tables_number 1
_symmetry_space_group_name_Hall 'P 1'
_cell_length_a 4.921
_cell_length_b 4.921
_cell_length_c 2.721
_cell_angle_alpha 90.00
_cell_angle_beta 90.00
_cell_angle_gamma 112.52
loop_
_atom_site_label
_atom_site_type_symbol
_atom_site_fract_x
_atom_site_fract_y
_atom_site_fract_z
Re1 Re 0.000 0.000 0.000
Re2 Re 0.500 0.500 0.000
Ag1 Ag 0.500 0.000 0.500
Ir1 Ir 0.000 0.500 0.500
```

## Properties
- energy relative to the lowest polymorph listed for this composition (meV per atom) = 282
- energy of formation (meV/atom) = 464.7

=====

# 9
Compound: CsNaTi3
Source: the Alexandria database
Functional: PBE
Structure: optimized geometry

CIF file:
```
data_CsNaTi3
_symmetry_space_group_name_H-M 'P 1'
_symmetry_Int_Tables_number 1
_symmetry_space_group_name_Hall 'P 1'
_cell_length_a 5.226
_cell_length_b 5.226
_cell_length_c 5.226
_cell_angle_alpha 90.00
_cell_angle_beta 90.00
_cell_angle_gamma 90.00
loop_
_atom_site_label
_atom_site_type_symbol
_atom_site_fract_x
_atom_site_fract_y
_atom_site_fract_z
Ti1 Ti 0.000 0.000 0.500
Ti2 Ti 0.000 0.500 0.000
Ti3 Ti 0.500 0.000 0.000
Cs1 Cs 0.500 0.500 0.500
Na1 Na 0.000 0.000 0.000
```

## Properties
- energy of formation (meV/atom) = 1879.5

=====

# 10
Compound: Ga2PdPt
Source: the Alexandria database
Functional: PBE
Structure: optimized geometry

CIF file:
```
data_Ga2PdPt
_symmetry_space_group_name_H-M 'P 1'
_symmetry_Int_Tables_number 1
_symmetry_space_group_name_Hall 'P 1'
_cell_length_a 4.412
_cell_length_b 4.412
_cell_length_c 4.412
_cell_angle_alpha 60.00
_cell_angle_beta 60.00
_cell_angle_gamma 60.00
loop_
_atom_site_label
_atom_site_type_symbol
_atom_site_fract_x
_atom_site_fract_y
_atom_site_fract_z
Ga1 Ga 0.750 0.750 0.750
Ga2 Ga 0.250 0.250 0.250
Pt1 Pt 0.500 0.500 0.500
Pd1 Pd 0.000 0.000 0.000
```

## Properties
- energy relative to the lowest polymorph listed for this composition (meV per atom) = 0
- energy of formation (meV/atom) = -559.2

=====

# 11
Compound: CsSiBr2O
Source: the Alexandria database
Functional: PBE
Structure: optimized geometry

CIF file:
```
data_CsSiBr2O
_symmetry_space_group_name_H-M 'P 1'
_symmetry_Int_Tables_number 1
_symmetry_space_group_name_Hall 'P 1'
_cell_length_a 5.926
_cell_length_b 3.580
_cell_length_c 5.926
_cell_angle_alpha 90.00
_cell_angle_beta 90.00
_cell_angle_gamma 90.00
loop_
_atom_site_label
_atom_site_type_symbol
_atom_site_fract_x
_atom_site_fract_y
_atom_site_fract_z
Br1 Br 0.500 0.000 0.000
Br2 Br 0.000 0.000 0.500
Cs1 Cs 0.500 0.500 0.500
Si1 Si 0.000 0.000 0.000
O1 O 0.000 0.500 0.000
```

## Properties
- E_form (uncorrected) (kJ/mol of formula units) = -531

=====

# 12
Compound: GaRe2HgRu
Source: the Alexandria database
Functional: PBE
Structure: optimized geometry

CIF file:
```
data_GaRe2HgRu
_symmetry_space_group_name_H-M 'P 1'
_symmetry_Int_Tables_number 1
_symmetry_space_group_name_Hall 'P 1'
_cell_length_a 4.590
_cell_length_b 4.526
_cell_length_c 4.590
_cell_angle_alpha 90.00
_cell_angle_beta 90.00
_cell_angle_gamma 90.00
loop_
_atom_site_label
_atom_site_type_symbol
_atom_site_fract_x
_atom_site_fract_y
_atom_site_fract_z
Ga1 Ga 0.000 0.000 0.000
Ru1 Ru 0.000 0.500 0.000
Hg1 Hg 0.500 0.500 0.500
Re1 Re 0.000 0.000 0.500
Re2 Re 0.500 0.000 0.000
```

## Properties
- energy of formation (meV/atom) = 1769.7

=====

# 13
Compound: AcLaAgI
Source: the Alexandria database
Functional: PBE
Structure: optimized geometry

CIF file:
```
data_AcLaAgI
_symmetry_space_group_name_H-M 'P 1'
_symmetry_Int_Tables_number 1
_symmetry_space_group_name_Hall 'P 1'
_cell_length_a 5.643
_cell_length_b 5.643
_cell_length_c 5.643
_cell_angle_alpha 60.00
_cell_angle_beta 60.00
_cell_angle_gamma 60.00
loop_
_atom_site_label
_atom_site_type_symbol
_atom_site_fract_x
_atom_site_fract_y
_atom_site_fract_z
Ac1 Ac 0.250 0.250 0.250
La1 La 0.750 0.750 0.750
I1 I 0.500 0.500 0.500
Ag1 Ag 0.000 0.000 0.000
```

## Properties
- E_form (uncorrected) (kJ/mol of formula units) = -171

=====

# 14
Compound: Hf2Mg2Sb
Source: the Alexandria database
Functional: PBE
Structure: optimized geometry

CIF file:
```
data_Hf2Mg2Sb
_symmetry_space_group_name_H-M 'P 1'
_symmetry_Int_Tables_number 1
_symmetry_space_group_name_Hall 'P 1'
_cell_length_a 4.017
_cell_length_b 4.017
_cell_length_c 8.265
_cell_angle_alpha 75.94
_cell_angle_beta 75.94
_cell_angle_gamma 90.00
loop_
_atom_site_label
_atom_site_type_symbol
_atom_site_fract_x
_atom_site_fract_y
_atom_site_fract_z
Hf1 Hf 0.750 0.250 0.500
Hf2 Hf 0.250 0.750 0.500
Mg1 Mg 0.408 0.408 0.185
Mg2 Mg 0.592 0.592 0.815
Sb1 Sb 0.000 0.000 0.000
```

## Properties
- energy relative to the lowest polymorph listed for this composition (meV per atom) = 359
- E_form (uncorrected) (kJ/mol of formula units) = 198

=====

# 15
Compound: Rb3Mg2H7
Source: the Alexandria database
Functional: PBE
Structure: optimized geometry

CIF file:
```
data_Rb3Mg2H7
_symmetry_space_group_name_H-M 'P 1'
_symmetry_Int_Tables_number 1
_symmetry_space_group_name_Hall 'P 1'
_cell_length_a 4.129
_cell_length_b 4.129
_cell_length_c 11.525
_cell_angle_alpha 100.32
_cell_angle_beta 100.32
_cell_angle_gamma 90.00
loop_
_atom_site_label
_atom_site_type_symbol
_atom_site_fract_x
_atom_site_fract_y
_atom_site_fract_z
H1 H 0.819 0.819 0.637
H2 H 0.408 0.908 0.816
H3 H 0.000 0.000 0.000
H4 H 0.181 0.181 0.363
H5 H 0.092 0.592 0.184
H6 H 0.592 0.092 0.184
H7 H 0.908 0.408 0.816
Mg1 Mg 0.092 0.092 0.184
Mg2 Mg 0.908 0.908 0.816
Rb1 Rb 0.317 0.317 0.634
Rb2 Rb 0.500 0.500 0.000
Rb3 Rb 0.683 0.683 0.366
```

## Properties
- energy relative to the lowest polymorph listed for this composition (meV per atom) = 0

=====

# 16
Compound: Ce4GeP2
Source: the Alexandria database
Functional: PBE
Structure: optimized geometry

CIF file:
```
data_Ce4GeP2
_symmetry_space_group_name_H-M 'P 1'
_symmetry_Int_Tables_number 1
_symmetry_space_group_name_Hall 'P 1'
_cell_length_a 4.089
_cell_length_b 7.119
_cell_length_c 13.098
_cell_angle_alpha 90.00
_cell_angle_beta 90.00
_cell_angle_gamma 106.69
loop_
_atom_site_label
_atom_site_type_symbol
_atom_site_fract_x
_atom_site_fract_y
_atom_site_fract_z
Ce1 Ce 0.500 0.000 0.500
Ce2 Ce 0.230 0.459 0.633
Ce3 Ce 0.770 0.541 0.367
Ce4 Ce 0.500 0.000 0.000
Ce5 Ce 0.946 0.892 0.750
Ce6 Ce 0.770 0.541 0.133
Ce7 Ce 0.054 0.108 0.250
Ce8 Ce 0.230 0.459 0.867
P1 P 0.140 0.280 0.057
P2 P 0.140 0.280 0.443
P3 P 0.860 0.720 0.557
P4 P 0.860 0.720 0.943
Ge1 Ge 0.600 0.200 0.750
Ge2 Ge 0.400 0.800 0.250
```

## Properties
- energy of formation (meV/atom) = -1012.2

=====

# 17
Compound: Ho2Zn2Ag3
Source: the Alexandria database
Functional: PBE
Structure: optimized geometry

CIF file:
```
data_Ho2Zn2Ag3
_symmetry_space_group_name_H-M 'P 1'
_symmetry_Int_Tables_number 1
_symmetry_space_group_name_Hall 'P 1'
_cell_length_a 3.538
_cell_length_b 4.211
_cell_length_c 9.885
_cell_angle_alpha 102.30
_cell_angle_beta 90.00
_cell_angle_gamma 90.00
loop_
_atom_site_label
_atom_site_type_symbol
_atom_site_fract_x
_atom_site_fract_y
_atom_site_fract_z
Ho1 Ho 0.000 0.155 0.311
Ho2 Ho 0.000 0.845 0.689
Ag1 Ag 0.500 0.428 0.856
Ag2 Ag 0.000 0.000 0.000
Ag3 Ag 0.500 0.572 0.144
Zn1 Zn 0.500 0.285 0.570
Zn2 Zn 0.500 0.715 0.430
```

## Properties
- energy of formation (meV/atom) = -226.5

=====

# 18
Compound: Zr2BiH2
Source: the Alexandria database
Functional: PBE
Structure: optimized geometry

CIF file:
```
data_Zr2BiH2
_symmetry_space_group_name_H-M 'P 1'
_symmetry_Int_Tables_number 1
_symmetry_space_group_name_Hall 'P 1'
_cell_length_a 3.875
_cell_length_b 3.830
_cell_length_c 5.835
_cell_angle_alpha 109.17
_cell_angle_beta 90.00
_cell_angle_gamma 90.00
loop_
_atom_site_label
_atom_site_type_symbol
_atom_site_fract_x
_atom_site_fract_y
_atom_site_fract_z
Bi1 Bi 0.200 0.974 0.950
Zr1 Zr 0.200 0.685 0.369
Zr2 Zr 0.700 0.342 0.684
H1 H 0.200 0.255 0.510
H2 H 0.700 0.743 0.487
```

## Properties
- energy relative to the lowest polymorph listed for this composition (meV per atom) = 21

=====

# 19
Compound: Sm5Zn2Co2
Source: the Alexandria database
Functional: PBE
Structure: optimized geometry

CIF file:
```
data_Sm5Zn2Co2
_symmetry_space_group_name_H-M 'P 1'
_symmetry_Int_Tables_number 1
_symmetry_space_group_name_Hall 'P 1'
_cell_length_a 7.325
_cell_length_b 7.562
_cell_length_c 8.684
_cell_angle_alpha 90.00
_cell_angle_beta 65.05
_cell_angle_gamma 90.00
loop_
_atom_site_label
_atom_site_type_symbol
_atom_site_fract_x
_atom_site_fract_y
_atom_site_fract_z
Sm1 Sm 0.500 0.500 0.000
Sm2 Sm 0.811 0.816 0.745
Sm3 Sm 0.311 0.684 0.745
Sm4 Sm 0.057 0.684 0.255
Sm5 Sm 0.689 0.316 0.255
Sm6 Sm 0.000 0.000 0.000
Sm7 Sm 0.443 0.184 0.745
Sm8 Sm 0.557 0.816 0.255
Sm9 Sm 0.189 0.184 0.255
Sm10 Sm 0.943 0.316 0.745
Co1 Co 0.106 0.389 0.000
Co2 Co 0.894 0.611 0.000
Co3 Co 0.606 0.111 0.000
Co4 Co 0.394 0.889 0.000
Zn1 Zn 0.781 0.000 0.437
Zn2 Zn 0.281 0.500 0.437
Zn3 Zn 0.719 0.500 0.563
Zn4 Zn 0.219 0.000 0.563
```

## Properties
- energy of formation (meV/atom) = -149.1

=====

# 20
Compound: CrOs2Se
Source: the Alexandria database
Functional: PBE
Structure: optimized geometry

CIF file:
```
data_CrOs2Se
_symmetry_space_group_name_H-M 'P 1'
_symmetry_Int_Tables_number 1
_symmetry_space_group_name_Hall 'P 1'
_cell_length_a 2.874
_cell_length_b 3.692
_cell_length_c 5.835
_cell_angle_alpha 90.00
_cell_angle_beta 90.00
_cell_angle_gamma 90.00
loop_
_atom_site_label
_atom_site_type_symbol
_atom_site_fract_x
_atom_site_fract_y
_atom_site_fract_z
Se1 Se 0.000 0.000 0.561
Os1 Os 0.500 0.500 0.195
Os2 Os 0.000 0.000 0.004
Cr1 Cr 0.500 0.500 0.740
```

## Properties
- E_form (uncorrected) (kJ/mol of formula units) = 183